(1)
## Ac2PaGe2N6 (PBE)

Data for an optimized crystal structure of Ac2PaGe2N6.

Properties
E_form (uncorrected) in eV/f.u.: -8.3
Theoretical density in Mg/m³: 8.31

abc: 5.9650 5.9650 17.7860
angles: 90.00 90.00 120.00
Space group R-3m (No. 166, hexagonal axes)
Unique sites:
Ac: 0.0000 0.0000 0.2075 [6 per cell]
Pa: 0.0000 0.0000 0.0000 [3 per cell]
Ge: 0.0000 0.0000 0.4064 [6 per cell]
N: 0.0129 0.5064 0.7555 [18 per cell]

=====

(2)
## AcPa2GeN5 (PBE)

Data for an optimized crystal structure of AcPa2GeN5.

Properties
E_form (uncorrected) in eV/f.u.: -9.9
Theoretical density in Mg/m³: 10.70

abc: 6.710 6.710 5.731
angles: 90.00 90.00 90.00
Space group P4/mbm (No. 127)
Unique sites:
Ac: 0.000 0.000 0.000 [2 per cell]
Pa: 0.177 0.323 0.500 [4 per cell]
Ge: 0.000 0.500 0.000 [2 per cell]
N: 0.000 0.000 0.500 [2 per cell]
N: 0.144 0.644 0.251 [8 per cell]

=====

(3)
## Ac2PaGeN5 (PBE)

Data for an optimized crystal structure of Ac2PaGeN5.

Properties
E_form (uncorrected) in eV/f.u.: -9.3
Theoretical density in Mg/m³: 9.18

abc: 3.585 14.787 11.295
angles: 90.00 90.00 90.00
Space group Cmc2_1 (No. 36)
Unique sites:
Ac: 0.000 0.105 0.000 [4 per cell]
Ac: 0.000 0.135 0.661 [4 per cell]
Pa: 0.000 0.197 0.362 [4 per cell]
Ge: 0.000 0.452 0.753 [4 per cell]
N: 0.000 0.033 0.337 [4 per cell]
N: 0.000 0.288 0.985 [4 per cell]
N: 0.000 0.323 0.728 [4 per cell]
N: 0.000 0.342 0.339 [4 per cell]
N: 0.000 0.490 0.111 [4 per cell]

=====

(4)
## Ac4GePb2N2 (PBE)

Data for an optimized crystal structure of Ac4GePb2N2.

Properties
E_form (uncorrected) in eV/f.u.: -6.6
Theoretical density in Mg/m³: 8.27

abc: 19.303 4.221 7.308
angles: 90.00 106.27 90.00
Space group C2/m (No. 12)
Unique sites:
Ac: 0.063 0.000 0.332 [4 per cell]
Ac: 0.237 0.500 0.276 [4 per cell]
Ge: 0.000 0.500 0.000 [2 per cell]
Pb: 0.106 0.500 0.785 [4 per cell]
N: 0.190 0.000 0.383 [4 per cell]

=====

(5)
## Ac3GePbN (PBE)

Data for an optimized crystal structure of Ac3GePbN.

Properties
E_form (uncorrected) in eV/f.u.: -4.0
Theoretical density in Mg/m³: 7.29

abc: 10.354 4.172 10.536
angles: 90.00 102.78 90.00
Space group P2_1/m (No. 11)
Unique sites:
Ac: 0.017 0.250 0.155 [2 per cell]
Ac: 0.338 0.750 0.109 [2 per cell]
Ac: 0.342 0.750 0.572 [2 per cell]
Ge: 0.342 0.250 0.345 [2 per cell]
Pb: 0.286 0.250 0.818 [2 per cell]
N: 0.106 0.750 0.076 [2 per cell]

=====

(6)
## AcPm2GeN4 (PBE)

Data for an optimized crystal structure of AcPm2GeN4.

Properties
E_form (uncorrected) in eV/f.u.: -7.8
Theoretical density in Mg/m³: 8.10

abc: 3.690 11.953 12.006
angles: 90.00 90.00 90.00
Space group Cmcm (No. 63)
Unique sites:
Ac: 0.000 0.097 0.250 [4 per cell]
Pm: 0.000 0.369 0.044 [8 per cell]
Ge: 0.000 0.168 0.750 [4 per cell]
N: 0.000 0.000 0.000 [4 per cell]
N: 0.000 0.270 0.628 [8 per cell]
N: 0.000 0.412 0.250 [4 per cell]

=====

(7)
## AcPr2GeN4 (PBE)

Data for an optimized crystal structure of AcPr2GeN4.

Properties
E_form (uncorrected) in eV/f.u.: -7.2
Theoretical density in Mg/m³: 7.71

abc: 3.730 12.066 12.203
angles: 90.00 90.00 90.00
Space group Cmcm (No. 63)
Unique sites:
Ac: 0.000 0.098 0.250 [4 per cell]
Pr: 0.000 0.369 0.045 [8 per cell]
Ge: 0.000 0.170 0.750 [4 per cell]
N: 0.000 0.000 0.000 [4 per cell]
N: 0.000 0.272 0.631 [8 per cell]
N: 0.000 0.412 0.250 [4 per cell]

=====

(8)
## Ac2PrGeN4 (PBE)

Data for an optimized crystal structure of Ac2PrGeN4.

Properties
E_form (uncorrected) in eV/f.u.: -5.9
Theoretical density in Mg/m³: 8.23

abc: 3.785 12.068 12.781
angles: 90.00 90.00 90.00
Space group Cmcm (No. 63)
Unique sites:
Ac: 0.000 0.132 0.048 [8 per cell]
Pr: 0.000 0.397 0.250 [4 per cell]
Ge: 0.000 0.327 0.750 [4 per cell]
N: 0.000 0.086 0.250 [4 per cell]
N: 0.000 0.220 0.639 [8 per cell]
N: 0.000 0.500 0.000 [4 per cell]

=====

(9)
## Ac5Ge2PtN (PBE)

Data for an optimized crystal structure of Ac5Ge2PtN.

Properties
E_form (uncorrected) in eV/f.u.: -7.5
Theoretical density in Mg/m³: 8.80

abc: 4.607 18.712 13.043
angles: 90.00 90.00 90.00
Space group Cmc2_1 (No. 36)
Unique sites:
Ac: 0.000 0.017 0.000 [4 per cell]
Ac: 0.000 0.281 0.697 [4 per cell]
Ac: 0.000 0.336 0.389 [4 per cell]
Ac: 0.000 0.342 0.013 [4 per cell]
Ac: 0.000 0.482 0.760 [4 per cell]
Ge: 0.000 0.106 0.692 [4 per cell]
Ge: 0.000 0.135 0.339 [4 per cell]
Pt: 0.000 0.183 0.050 [4 per cell]
N: 0.000 0.468 0.427 [4 per cell]

=====

(10)
## Ac2PuGe2N6 (PBE)

Data for an optimized crystal structure of Ac2PuGe2N6.

Properties
E_form (uncorrected) in eV/f.u.: -6.5
Theoretical density in Mg/m³: 8.46

abc: 5.9775 5.9775 17.6406
angles: 90.00 90.00 120.00
Space group R-3m (No. 166, hexagonal axes)
Unique sites:
Ac: 0.0000 0.0000 0.2082 [6 per cell]
Pu: 0.0000 0.0000 0.0000 [3 per cell]
Ge: 0.0000 0.0000 0.4225 [6 per cell]
N: 0.0139 0.5070 0.7546 [18 per cell]

=====

(11)
## Ac2Pu2Ge2N (PBE)

Data for an optimized crystal structure of Ac2Pu2Ge2N.

Properties
E_form (uncorrected) in eV/f.u.: -5.6
Theoretical density in Mg/m³: 9.90

abc: 4.691 4.691 16.791
angles: 90.00 90.00 90.00
Space group I4/mmm (No. 139)
Unique sites:
Ac: 0.000 0.000 0.171 [4 per cell]
Pu: 0.000 0.500 0.000 [4 per cell]
Ge: 0.000 0.000 0.372 [4 per cell]
N: 0.000 0.000 0.000 [2 per cell]

=====

(12)
## AcGeRh2N (PBE)

Data for an optimized crystal structure of AcGeRh2N.

Properties
E_form (uncorrected) in eV/f.u.: -3.4
Theoretical density in Mg/m³: 9.94

abc: 3.883 12.063 7.413
angles: 90.00 90.00 90.00
Space group Cmcm (No. 63)
Unique sites:
Ac: 0.000 0.042 0.250 [4 per cell]
Ge: 0.000 0.230 0.750 [4 per cell]
Rh: 0.000 0.334 0.051 [8 per cell]
N: 0.000 0.500 0.000 [4 per cell]

=====

Which value of E_form (uncorrected) does entry 4 give?
-6.6 eV/f.u.